This record from Alexandria describes an optimized crystal structure of Pm12Ho6In. The functional is PBE.

a = 12.0072 Å, b = 12.0072 Å, c = 15.2167 Å
α = 90.00°, β = 90.00°, γ = 120.00°
With the nearest neighbours (Å) after each atom.
Space group R-3 (No. 148, hexagonal axes)
Inequivalent atoms, fractional coordinates:
Pm: 0.0056 0.8290 0.3136 (multiplicity 18)  4 Ho 3.47-3.73, 1 In 3.52, 5 Pm 3.53-3.86
Pm: 0.0466 0.1995 0.9154 (multiplicity 18)  3 Ho 3.34-3.55, 4 Pm 3.37-3.67
Ho: 0.0235 0.5902 0.1896 (multiplicity 18)  7 Pm 3.34-3.73, 1 In 3.37, 2 Ho 3.43
In: 0.0000 0.0000 0.5000 (multiplicity 3)  6 Ho 3.37, 6 Pm 3.52

Properties
- energy relative to the elements (eV/atom) = 0.064
- magnetic moment (Bohr magnetons per cell) = 0.002